Here is a relaxed structure of LiTlS2 from Alexandria via LeMat-Bulk. Energies are from PBE.

Results
Raw formation energy, eV per atom: -0.46
Space group: No. 160

```
4
Lattice="1.918 1.107 6.599 -1.918 1.107 6.599 0.000 -2.214 6.599" Properties=species:S:1:pos:R:3 pbc="T T T"
Li 0.000 0.000 0.000
Tl 0.000 0.000 3.378
S 0.000 0.000 11.603
S 0.000 0.000 14.978
```